1:
# Mn3Os4, optimized geometry, DFT PBE-GGA
# SG: P6/mmm (191)
# Magnetic moment in μB per atom: 0.004
data_Mn3Os4
_chemical_formula_sum 'Mn3 Os4'
_symmetry_space_group_name_H-M 'P 1'
_symmetry_Int_Tables_number 1
_cell_length_a 4.631
_cell_length_b 4.631
_cell_length_c 4.875
_cell_angle_alpha 90.00
_cell_angle_beta 90.00
_cell_angle_gamma 120.00
loop_
_symmetry_equiv_pos_as_xyz
'x,y,z'
loop_
_atom_site_label
_atom_site_type_symbol
_atom_site_fract_x
_atom_site_fract_y
_atom_site_fract_z
Mn1 Mn 0.000 0.500 0.000
Mn2 Mn 0.500 0.500 0.000
Mn3 Mn 0.500 0.000 0.000
Os1 Os 0.000 0.000 0.252
Os2 Os 0.000 0.000 0.748
Os3 Os 0.667 0.333 0.500
Os4 Os 0.333 0.667 0.500

2:
# Mn3Os4, optimized geometry, DFT PBE-GGA
# SG: I4/mmm (139)
# Magnetic moment in μB per atom: 0.290
data_Mn3Os4
_chemical_formula_sum 'Mn3 Os4'
_symmetry_space_group_name_H-M 'P 1'
_symmetry_Int_Tables_number 1
_cell_length_a 12.843
_cell_length_b 12.843
_cell_length_c 12.843
_cell_angle_alpha 168.04
_cell_angle_beta 168.04
_cell_angle_gamma 16.95
loop_
_symmetry_equiv_pos_as_xyz
'x,y,z'
loop_
_atom_site_label
_atom_site_type_symbol
_atom_site_fract_x
_atom_site_fract_y
_atom_site_fract_z
Mn1 Mn 0.000 0.000 0.000
Mn2 Mn 0.718 0.718 0.000
Mn3 Mn 0.282 0.282 0.000
Os1 Os 0.851 0.851 0.000
Os2 Os 0.571 0.571 0.000
Os3 Os 0.429 0.429 0.000
Os4 Os 0.149 0.149 0.000

Stability summary - winner: 2; margin: 4.5 kJ/mol of atoms.

1:
# Mn5Os3, optimized geometry, DFT PBE-GGA
# SG: C2 (5)
# Magnetic moment in μB per atom: 0.602
data_Mn5Os3
_chemical_formula_sum 'Mn10 Os6'
_symmetry_space_group_name_H-M 'P 1'
_symmetry_Int_Tables_number 1
_cell_length_a 6.769
_cell_length_b 6.767
_cell_length_c 7.507
_cell_angle_alpha 96.43
_cell_angle_beta 96.44
_cell_angle_gamma 138.73
loop_
_symmetry_equiv_pos_as_xyz
'x,y,z'
loop_
_atom_site_label
_atom_site_type_symbol
_atom_site_fract_x
_atom_site_fract_y
_atom_site_fract_z
Mn1 Mn 0.211 0.737 0.500
Mn2 Mn 0.762 0.289 0.500
Mn3 Mn 0.808 0.071 0.879
Mn4 Mn 0.276 0.939 0.217
Mn5 Mn 0.723 0.598 0.323
Mn6 Mn 0.264 0.447 0.711
Mn7 Mn 0.560 0.223 0.783
Mn8 Mn 0.429 0.692 0.121
Mn9 Mn 0.053 0.236 0.289
Mn10 Mn 0.902 0.777 0.677
Os1 Os 0.790 0.710 0.000
Os2 Os 0.290 0.210 0.000
Os3 Os 0.314 0.186 0.500
Os4 Os 0.646 0.853 0.500
Os5 Os 0.169 0.702 0.870
Os6 Os 0.797 0.331 0.130

2:
# Mn5Os3, optimized geometry, DFT PBE-GGA
# SG: Cmmm (65)
# Magnetic moment in μB per atom: 0.346
data_Mn5Os3
_chemical_formula_sum 'Mn5 Os3'
_symmetry_space_group_name_H-M 'P 1'
_symmetry_Int_Tables_number 1
_cell_length_a 5.199
_cell_length_b 5.199
_cell_length_c 3.736
_cell_angle_alpha 90.00
_cell_angle_beta 90.00
_cell_angle_gamma 89.11
loop_
_symmetry_equiv_pos_as_xyz
'x,y,z'
loop_
_atom_site_label
_atom_site_type_symbol
_atom_site_fract_x
_atom_site_fract_y
_atom_site_fract_z
Mn1 Mn 0.000 0.000 0.000
Mn2 Mn 0.000 0.500 0.000
Mn3 Mn 0.500 0.000 0.000
Mn4 Mn 0.751 0.249 0.500
Mn5 Mn 0.249 0.751 0.500
Os1 Os 0.500 0.500 0.000
Os2 Os 0.244 0.244 0.500
Os3 Os 0.756 0.756 0.500

3:
# Mn5Os3, optimized geometry, DFT PBE-GGA
# SG: Pmmm (47)
# Magnetic moment in μB per atom: 0.358
data_Mn5Os3
_chemical_formula_sum 'Mn5 Os3'
_symmetry_space_group_name_H-M 'P 1'
_symmetry_Int_Tables_number 1
_cell_length_a 3.660
_cell_length_b 3.720
_cell_length_c 7.411
_cell_angle_alpha 90.00
_cell_angle_beta 90.00
_cell_angle_gamma 90.00
loop_
_symmetry_equiv_pos_as_xyz
'x,y,z'
loop_
_atom_site_label
_atom_site_type_symbol
_atom_site_fract_x
_atom_site_fract_y
_atom_site_fract_z
Mn1 Mn 0.000 0.000 0.000
Mn2 Mn 0.000 0.500 0.251
Mn3 Mn 0.000 0.000 0.500
Mn4 Mn 0.000 0.500 0.749
Mn5 Mn 0.500 0.500 0.000
Os1 Os 0.500 0.000 0.246
Os2 Os 0.500 0.500 0.500
Os3 Os 0.500 0.000 0.754

4:
# Mn5Os3, optimized geometry, DFT PBE-GGA
# SG: Cmcm (63)
# Magnetic moment in μB per atom: 0.786
data_Mn5Os3
_chemical_formula_sum 'Mn10 Os6'
_symmetry_space_group_name_H-M 'P 1'
_symmetry_Int_Tables_number 1
_cell_length_a 8.269
_cell_length_b 8.270
_cell_length_c 4.621
_cell_angle_alpha 90.00
_cell_angle_beta 90.00
_cell_angle_gamma 42.30
loop_
_symmetry_equiv_pos_as_xyz
'x,y,z'
loop_
_atom_site_label
_atom_site_type_symbol
_atom_site_fract_x
_atom_site_fract_y
_atom_site_fract_z
Mn1 Mn 0.853 0.147 0.250
Mn2 Mn 0.148 0.853 0.750
Mn3 Mn 0.264 0.989 0.250
Mn4 Mn 0.988 0.265 0.750
Mn5 Mn 0.641 0.641 0.000
Mn6 Mn 0.641 0.641 0.500
Mn7 Mn 0.359 0.359 0.000
Mn8 Mn 0.359 0.359 0.500
Mn9 Mn 0.736 0.011 0.750
Mn10 Mn 0.012 0.735 0.250
Os1 Os 0.610 0.390 0.750
Os2 Os 0.390 0.610 0.250
Os3 Os 0.405 0.028 0.750
Os4 Os 0.028 0.405 0.250
Os5 Os 0.595 0.972 0.250
Os6 Os 0.972 0.595 0.750

Stability summary - winner: 2; margin: 0.6 kJ/mol of atoms.

1:
# Mn4Os5, optimized geometry, DFT PBE-GGA
# SG: P6_3/mcm (193)
# Magnetic moment in μB per atom: 0.156
data_Mn4Os5
_chemical_formula_sum 'Mn8 Os10'
_symmetry_space_group_name_H-M 'P 1'
_symmetry_Int_Tables_number 1
_cell_length_a 7.214
_cell_length_b 7.214
_cell_length_c 5.256
_cell_angle_alpha 90.00
_cell_angle_beta 90.00
_cell_angle_gamma 60.00
loop_
_symmetry_equiv_pos_as_xyz
'x,y,z'
loop_
_atom_site_label
_atom_site_type_symbol
_atom_site_fract_x
_atom_site_fract_y
_atom_site_fract_z
Mn1 Mn 0.000 0.000 0.000
Mn2 Mn 0.000 0.000 0.500
Mn3 Mn 0.663 0.337 0.250
Mn4 Mn 0.000 0.663 0.250
Mn5 Mn 0.337 0.000 0.250
Mn6 Mn 0.337 0.663 0.750
Mn7 Mn 0.000 0.337 0.750
Mn8 Mn 0.663 0.000 0.750
Os1 Os 0.325 0.675 0.250
Os2 Os 0.000 0.325 0.250
Os3 Os 0.675 0.000 0.250
Os4 Os 0.675 0.325 0.750
Os5 Os 0.000 0.675 0.750
Os6 Os 0.325 0.000 0.750
Os7 Os 0.333 0.333 0.000
Os8 Os 0.667 0.667 0.500
Os9 Os 0.667 0.667 0.000
Os10 Os 0.333 0.333 0.500

2:
# Mn4Os5, optimized geometry, DFT PBE-GGA
# SG: I4/mmm (139)
# Magnetic moment in μB per atom: 0.767
data_Mn4Os5
_chemical_formula_sum 'Mn4 Os5'
_symmetry_space_group_name_H-M 'P 1'
_symmetry_Int_Tables_number 1
_cell_length_a 5.954
_cell_length_b 5.954
_cell_length_c 5.954
_cell_angle_alpha 95.83
_cell_angle_beta 95.83
_cell_angle_gamma 142.84
loop_
_symmetry_equiv_pos_as_xyz
'x,y,z'
loop_
_atom_site_label
_atom_site_type_symbol
_atom_site_fract_x
_atom_site_fract_y
_atom_site_fract_z
Mn1 Mn 0.000 0.672 0.672
Mn2 Mn 0.000 0.328 0.328
Mn3 Mn 0.672 0.000 0.672
Mn4 Mn 0.328 0.000 0.328
Os1 Os 0.000 0.000 0.000
Os2 Os 0.668 0.668 0.336
Os3 Os 0.332 0.332 0.664
Os4 Os 0.668 0.332 0.000
Os5 Os 0.332 0.668 0.000

Stability summary - winner: 2; margin: 3.7 kJ/mol of atoms.